# Cs3K3MgF8 PBE-GGA optimized geometry
data_Cs3K3MgF8
_chemical_formula_sum 'Cs9 K9 Mg3 F24'
_space_group_name_H-M_alt 'R -3 m'
_space_group_IT_number 166
_space_group_name_Hall '-R 3 2"'
_cell_length_a 7.7226
_cell_length_b 7.7226
_cell_length_c 20.0828
_cell_angle_alpha 90.00
_cell_angle_beta 90.00
_cell_angle_gamma 120.00
loop_
_atom_site_label
_atom_site_fract_x
_atom_site_fract_y
_atom_site_fract_z
Cs1 0.0000 0.5000 0.0000
K1 0.0000 0.5000 0.5000
Mg1 0.0000 0.0000 0.5000
F1 0.0000 0.0000 0.2384
F2 0.0748 0.5374 0.2250
# N(E_F) (states/eV per atom): 0.000
# Calculated total energy (eV/atom): -4.33
# Energy relative to the elements, uncorrected (eV/atom): -2.84
# Total moment (μB per formula unit): 0.31

---

# HfMnCo2H PBE-GGA optimized geometry
data_HfMnCo2H
_chemical_formula_sum 'Hf1 Mn1 Co2 H1'
_space_group_name_H-M_alt 'P 4/m m m'
_space_group_IT_number 123
_space_group_name_Hall '-P 4 2'
_cell_length_a 3.7656
_cell_length_b 3.7656
_cell_length_c 3.9269
_cell_angle_alpha 90.00
_cell_angle_beta 90.00
_cell_angle_gamma 90.00
loop_
_atom_site_label
_atom_site_fract_x
_atom_site_fract_y
_atom_site_fract_z
Hf1 0.0000 0.0000 0.0000
Mn1 0.5000 0.5000 0.0000
Co1 0.0000 0.5000 0.5000
H1 0.0000 0.0000 0.5000
# N(E_F) (states/eV per atom): 1.024
# Relative energy among the computed polymorphs (meV/atom): 86
# Calculated total energy (eV/atom): -7.44
# Total moment (μB per formula unit): 3.43

---

# In2As2Se PBE-GGA optimized geometry
data_In2As2Se
_chemical_formula_sum 'In4 As4 Se2'
_space_group_name_H-M_alt 'I 4/m m m'
_space_group_IT_number 139
_space_group_name_Hall '-I 4 2'
_cell_length_a 3.8231
_cell_length_b 3.8231
_cell_length_c 16.6275
_cell_angle_alpha 90.00
_cell_angle_beta 90.00
_cell_angle_gamma 90.00
loop_
_atom_site_label
_atom_site_fract_x
_atom_site_fract_y
_atom_site_fract_z
In1 0.0000 0.0000 0.0988
As1 0.0000 0.5000 0.2500
Se1 0.0000 0.0000 0.5000
# N(E_F) (states/eV per atom): 0.424
# Relative energy among the computed polymorphs (meV/atom): 0
# Calculated total energy (eV/atom): -3.67
# Energy relative to the elements, uncorrected (eV/atom): -0.01
# Total moment (μB per formula unit): 0.00

---

# Cu2ReP PBE-GGA optimized geometry
data_Cu2ReP
_chemical_formula_sum 'Cu2 Re1 P1'
_space_group_name_H-M_alt 'P m m m'
_space_group_IT_number 47
_space_group_name_Hall '-P 2 2'
_cell_length_a 2.9014
_cell_length_b 3.9955
_cell_length_c 4.4453
_cell_angle_alpha 90.00
_cell_angle_beta 90.00
_cell_angle_gamma 90.00
loop_
_atom_site_label
_atom_site_fract_x
_atom_site_fract_y
_atom_site_fract_z
Cu1 0.0000 0.0000 0.0000
Cu2 0.5000 0.5000 0.0000
Re1 0.0000 0.5000 0.5000
P1 0.5000 0.0000 0.5000
# N(E_F) (states/eV per atom): 0.598
# Calculated total energy (eV/atom): -6.29
# DFT formation energy (kJ/mol of atoms): 21.8
# Total moment (μB per formula unit): 0.00

---

# Dy2YHo6Tm PBE-GGA optimized geometry
data_Dy2YHo6Tm
_chemical_formula_sum 'Dy8 Y4 Ho24 Tm4'
_space_group_name_H-M_alt 'C 1 2/c 1'
_space_group_IT_number 15
_space_group_name_Hall '-C 2yc'
_cell_length_a 8.9641
_cell_length_b 14.9857
_cell_length_c 9.4897
_cell_angle_alpha 90.00
_cell_angle_beta 97.56
_cell_angle_gamma 90.00
loop_
_atom_site_label
_atom_site_fract_x
_atom_site_fract_y
_atom_site_fract_z
Dy1 0.2487 0.0542 0.4561
Y1 0.0000 0.4780 0.2500
Ho1 0.0609 0.3117 0.9437
Ho2 0.1046 0.1063 0.1194
Ho3 0.2052 0.2757 0.3140
Tm1 0.0000 0.0906 0.7500
# N(E_F) (states/eV per atom): 1.336
# Calculated total energy (eV/atom): -4.64
# DFT formation energy (kJ/mol of atoms): 11.3
# Total moment (μB per formula unit): 0.00

---

# CsCdSi2Tc PBE-GGA optimized geometry
data_CsCdSi2Tc
_chemical_formula_sum 'Cs1 Cd1 Si2 Tc1'
_space_group_name_H-M_alt 'P 4/m m m'
_space_group_IT_number 123
_space_group_name_Hall '-P 4 2'
_cell_length_a 4.7572
_cell_length_b 4.7572
_cell_length_c 5.5262
_cell_angle_alpha 90.00
_cell_angle_beta 90.00
_cell_angle_gamma 90.00
loop_
_atom_site_label
_atom_site_fract_x
_atom_site_fract_y
_atom_site_fract_z
Cs1 0.0000 0.0000 0.0000
Cd1 0.5000 0.5000 0.0000
Si1 0.0000 0.5000 0.5000
Tc1 0.5000 0.5000 0.5000
# N(E_F) (states/eV per atom): 0.147
# Calculated total energy (eV/atom): -4.52
# Energy relative to the elements, uncorrected (eV/atom): 0.08
# Total moment (μB per formula unit): 0.00

---

# TeAsI2Cl PBE-GGA optimized geometry
data_TeAsI2Cl
_chemical_formula_sum 'Te1 As1 I2 Cl1'
_space_group_name_H-M_alt 'P 4/m m m'
_space_group_IT_number 123
_space_group_name_Hall '-P 4 2'
_cell_length_a 5.5995
_cell_length_b 5.5995
_cell_length_c 5.7605
_cell_angle_alpha 90.00
_cell_angle_beta 90.00
_cell_angle_gamma 90.00
loop_
_atom_site_label
_atom_site_fract_x
_atom_site_fract_y
_atom_site_fract_z
Te1 0.0000 0.0000 0.0000
As1 0.5000 0.5000 0.0000
I1 0.0000 0.5000 0.5000
Cl1 0.0000 0.0000 0.5000
# N(E_F) (states/eV per atom): 0.671
# Relative energy among the computed polymorphs (meV/atom): 573
# Calculated total energy (eV/atom): -1.65
# Energy relative to the elements, uncorrected (eV/atom): 0.89
# Total moment (μB per formula unit): 1.00

---

# TlPRu3 PBE-GGA optimized geometry
data_TlPRu3
_chemical_formula_sum 'Tl1 P1 Ru3'
_space_group_name_H-M_alt 'P m -3 m'
_space_group_IT_number 221
_space_group_name_Hall '-P 4 2 3'
_cell_length_a 4.3973
_cell_length_b 4.3973
_cell_length_c 4.3973
_cell_angle_alpha 90.00
_cell_angle_beta 90.00
_cell_angle_gamma 90.00
loop_
_atom_site_label
_atom_site_fract_x
_atom_site_fract_y
_atom_site_fract_z
Tl1 0.0000 0.0000 0.0000
P1 0.5000 0.5000 0.5000
Ru1 0.0000 0.5000 0.5000
# N(E_F) (states/eV per atom): 1.085
# Relative energy among the computed polymorphs (meV/atom): 0
# Calculated total energy (eV/atom): -6.82
# DFT formation energy (kJ/mol of atoms): 29.4
# Total moment (μB per formula unit): 0.00

---

# InCoBi PBE-GGA optimized geometry
data_InCoBi
_chemical_formula_sum 'In4 Co4 Bi4'
_space_group_name_H-M_alt 'I 4/m m m'
_space_group_IT_number 139
_space_group_name_Hall '-I 4 2'
_cell_length_a 3.1636
_cell_length_b 3.1636
_cell_length_c 27.4788
_cell_angle_alpha 90.00
_cell_angle_beta 90.00
_cell_angle_gamma 90.00
loop_
_atom_site_label
_atom_site_fract_x
_atom_site_fract_y
_atom_site_fract_z
In1 0.0000 0.0000 0.1683
Co1 0.0000 0.0000 0.2698
Bi1 0.0000 0.0000 0.4425
# N(E_F) (states/eV per atom): 0.768
# Calculated total energy (eV/atom): -4.37
# DFT formation energy (kJ/mol of atoms): 20.0
# Total moment (μB per formula unit): 1.58

---

# Te2HIrN PBE-GGA optimized geometry
data_Te2HIrN
_chemical_formula_sum 'Te2 H1 Ir1 N1'
_space_group_name_H-M_alt 'P 4/m m m'
_space_group_IT_number 123
_space_group_name_Hall '-P 4 2'
_cell_length_a 5.5796
_cell_length_b 5.5796
_cell_length_c 3.6151
_cell_angle_alpha 90.00
_cell_angle_beta 90.00
_cell_angle_gamma 90.00
loop_
_atom_site_label
_atom_site_fract_x
_atom_site_fract_y
_atom_site_fract_z
Te1 0.0000 0.5000 0.0000
H1 0.0000 0.0000 0.5000
Ir1 0.5000 0.5000 0.0000
N1 0.5000 0.5000 0.5000
# N(E_F) (states/eV per atom): 0.789
# Relative energy among the computed polymorphs (meV/atom): 0
# Calculated total energy (eV/atom): -4.54
# Total moment (μB per formula unit): 0.48

---

# Na3Ti3CuS8 PBE-GGA optimized geometry
data_Na3Ti3CuS8
_chemical_formula_sum 'Na6 Ti6 Cu2 S16'
_space_group_name_H-M_alt 'C 1 2/m 1'
_space_group_IT_number 12
_space_group_name_Hall '-C 2y'
_cell_length_a 12.2696
_cell_length_b 7.0911
_cell_length_c 7.8531
_cell_angle_alpha 90.00
_cell_angle_beta 121.38
_cell_angle_gamma 90.00
loop_
_atom_site_label
_atom_site_fract_x
_atom_site_fract_y
_atom_site_fract_z
Na1 0.0000 0.0000 0.0000
Na2 0.2500 0.2500 0.0000
Ti1 0.0000 0.5000 0.5000
Ti2 0.2500 0.2500 0.5000
Cu1 0.0000 0.0000 0.5000
S1 0.0177 0.2555 0.2976
S2 0.2367 0.0000 0.7019
S3 0.2370 0.5000 0.7111
# N(E_F) (states/eV per atom): 0.542
# Calculated total energy (eV/atom): -5.44
# Energy relative to the elements, uncorrected (eV/atom): -1.12
# Total moment (μB per formula unit): 0.16

---

# Pm5AgRu2 PBE-GGA optimized geometry
data_Pm5AgRu2
_chemical_formula_sum 'Pm20 Ag4 Ru8'
_space_group_name_H-M_alt 'I 4/m c m'
_space_group_IT_number 140
_space_group_name_Hall '-I 4 2c'
_cell_length_a 7.9239
_cell_length_b 7.9239
_cell_length_c 13.5606
_cell_angle_alpha 90.00
_cell_angle_beta 90.00
_cell_angle_gamma 90.00
loop_
_atom_site_label
_atom_site_fract_x
_atom_site_fract_y
_atom_site_fract_z
Pm1 0.0000 0.0000 0.0000
Pm2 0.1575 0.3425 0.1339
Ag1 0.0000 0.0000 0.2500
Ru1 0.1435 0.3565 0.5000
# N(E_F) (states/eV per atom): 0.875
# Calculated total energy (eV/atom): -5.91
# DFT formation energy (kJ/mol of atoms): -25.9
# Total moment (μB per formula unit): 0.00

---

# Al2HRu PBE-GGA optimized geometry
data_Al2HRu
_chemical_formula_sum 'Al8 H4 Ru4'
_space_group_name_H-M_alt 'I -4 2 d'
_space_group_IT_number 122
_space_group_name_Hall 'I -4 2bw'
_cell_length_a 5.9164
_cell_length_b 5.9164
_cell_length_c 5.3573
_cell_angle_alpha 90.00
_cell_angle_beta 90.00
_cell_angle_gamma 90.00
loop_
_atom_site_label
_atom_site_fract_x
_atom_site_fract_y
_atom_site_fract_z
Al1 0.1657 0.7500 0.1250
H1 0.0000 0.0000 0.0000
Ru1 0.0000 0.0000 0.5000
# N(E_F) (states/eV per atom): 0.569
# Relative energy among the computed polymorphs (meV/atom): 0
# Calculated total energy (eV/atom): -5.12
# Total moment (μB per formula unit): 0.00

---

# Ac2I4Br PBE-GGA optimized geometry
data_Ac2I4Br
_chemical_formula_sum 'Ac6 I12 Br3'
_space_group_name_H-M_alt 'R -3 m'
_space_group_IT_number 166
_space_group_name_Hall '-R 3 2"'
_cell_length_a 5.7135
_cell_length_b 5.7135
_cell_length_c 32.5990
_cell_angle_alpha 90.00
_cell_angle_beta 90.00
_cell_angle_gamma 120.00
loop_
_atom_site_label
_atom_site_fract_x
_atom_site_fract_y
_atom_site_fract_z
Ac1 0.0000 0.0000 0.0928
I1 0.0000 0.0000 0.2009
I2 0.0000 0.0000 0.3976
Br1 0.0000 0.0000 0.0000
# N(E_F) (states/eV per atom): 0.719
# Calculated total energy (eV/atom): -3.72
# Energy relative to the elements, uncorrected (eV/atom): -1.42
# Total moment (μB per formula unit): 0.76

---

# Ho2AlB2Ir5 PBE-GGA optimized geometry
data_Ho2AlB2Ir5
_chemical_formula_sum 'Ho4 Al2 B4 Ir10'
_space_group_name_H-M_alt 'P 4/m b m'
_space_group_IT_number 127
_space_group_name_Hall '-P 4 2ab'
_cell_length_a 9.6073
_cell_length_b 9.6073
_cell_length_c 3.1303
_cell_angle_alpha 90.00
_cell_angle_beta 90.00
_cell_angle_gamma 90.00
loop_
_atom_site_label
_atom_site_fract_x
_atom_site_fract_y
_atom_site_fract_z
Ho1 0.1773 0.3227 0.0000
Al1 0.0000 0.0000 0.0000
B1 0.1219 0.6219 0.0000
Ir1 0.0000 0.5000 0.5000
Ir2 0.0680 0.7813 0.5000
# N(E_F) (states/eV per atom): 0.305
# Calculated total energy (eV/atom): -7.88
# DFT formation energy (kJ/mol of atoms): -79.6
# Total moment (μB per formula unit): 0.00

---

# Cr2CuMo PBE-GGA optimized geometry
data_Cr2CuMo
_chemical_formula_sum 'Cr4 Cu2 Mo2'
_space_group_name_H-M_alt 'C m m 2'
_space_group_IT_number 35
_space_group_name_Hall 'C 2 -2'
_cell_length_a 3.0161
_cell_length_b 4.1211
_cell_length_c 8.3265
_cell_angle_alpha 90.00
_cell_angle_beta 90.00
_cell_angle_gamma 90.00
loop_
_atom_site_label
_atom_site_fract_x
_atom_site_fract_y
_atom_site_fract_z
Cr1 0.0000 0.0000 0.0000
Cr2 0.0000 0.5000 0.2263
Cu1 0.0000 0.5000 0.7538
Mo1 0.0000 0.0000 0.4854
# N(E_F) (states/eV per atom): 0.578
# Relative energy among the computed polymorphs (meV/atom): 0
# Calculated total energy (eV/atom): -8.35
# DFT formation energy (kJ/mol of atoms): 18.7
# Total moment (μB per formula unit): 0.00

---

# Hf6InO PBE-GGA optimized geometry
data_Hf6InO
_chemical_formula_sum 'Hf18 In3 O3'
_space_group_name_H-M_alt 'R -3'
_space_group_IT_number 148
_space_group_name_Hall '-R 3'
_cell_length_a 8.4713
_cell_length_b 8.4713
_cell_length_c 7.6279
_cell_angle_alpha 90.00
_cell_angle_beta 90.00
_cell_angle_gamma 120.00
loop_
_atom_site_label
_atom_site_fract_x
_atom_site_fract_y
_atom_site_fract_z
Hf1 0.0633 0.2484 0.1642
In1 0.0000 0.0000 0.5000
O1 0.0000 0.0000 0.0000
# N(E_F) (states/eV per atom): 0.808
# Calculated total energy (eV/atom): -9.11
# Energy relative to the elements, uncorrected (eV/atom): -0.68
# Total moment (μB per formula unit): 0.00

---

# Os3RuO PBE-GGA optimized geometry
data_Os3RuO
_chemical_formula_sum 'Os3 Ru1 O1'
_space_group_name_H-M_alt 'P m -3 m'
_space_group_IT_number 221
_space_group_name_Hall '-P 4 2 3'
_cell_length_a 4.6826
_cell_length_b 4.6826
_cell_length_c 4.6826
_cell_angle_alpha 90.00
_cell_angle_beta 90.00
_cell_angle_gamma 90.00
loop_
_atom_site_label
_atom_site_fract_x
_atom_site_fract_y
_atom_site_fract_z
Os1 0.0000 0.0000 0.5000
Ru1 0.0000 0.0000 0.0000
O1 0.5000 0.5000 0.5000
# N(E_F) (states/eV per atom): 1.301
# Relative energy among the computed polymorphs (meV/atom): 2015
# Calculated total energy (eV/atom): -6.68
# Energy relative to the elements, uncorrected (eV/atom): 2.90
# Total moment (μB per formula unit): 4.96

---

# Na4SiO4 PBE-GGA optimized geometry
data_Na4SiO4
_chemical_formula_sum 'Na8 Si2 O8'
_space_group_name_H-M_alt 'P 42/n m c'
_space_group_IT_number 137
_cell_length_a 6.4977
_cell_length_b 6.4977
_cell_length_c 5.3831
_cell_angle_alpha 90.00
_cell_angle_beta 90.00
_cell_angle_gamma 90.00
loop_
_space_group_symop_operation_xyz
'x,y,z'
'-x,-y,-z'
'-y+1/2,x,z+1/2'
'y+1/2,-x,-z+1/2'
'-x+1/2,-y+1/2,z'
'x+1/2,y+1/2,-z'
'y,-x+1/2,z+1/2'
'-y,x+1/2,-z+1/2'
'x+1/2,-y,-z'
'-x+1/2,y,z'
'-y,-x,-z+1/2'
'y,x,z+1/2'
'-x,y+1/2,-z'
'x,-y+1/2,z'
'y+1/2,x+1/2,-z+1/2'
'-y+1/2,-x+1/2,z+1/2'
loop_
_atom_site_label
_atom_site_fract_x
_atom_site_fract_y
_atom_site_fract_z
Na1 0.0340 0.2500 0.1359
Si1 0.2500 0.7500 0.2500
O1 0.0433 0.7500 0.4328
# N(E_F) (states/eV per atom): 0.000
# Calculated total energy (eV/atom): -5.43
# Energy relative to the elements, uncorrected (eV/atom): -2.04
# Total moment (μB per formula unit): 0.00

---

# CaCdSe2 PBE-GGA optimized geometry
data_CaCdSe2
_chemical_formula_sum 'Ca1 Cd1 Se2'
_space_group_name_H-M_alt 'P 1 2/m 1'
_space_group_IT_number 10
_space_group_name_Hall '-P 2y'
_cell_length_a 3.9095
_cell_length_b 3.7337
_cell_length_c 7.3948
_cell_angle_alpha 90.00
_cell_angle_beta 103.16
_cell_angle_gamma 90.00
loop_
_atom_site_label
_atom_site_fract_x
_atom_site_fract_y
_atom_site_fract_z
Ca1 0.0000 0.0000 0.0000
Cd1 0.5000 0.0000 0.5000
Se1 0.4435 0.5000 0.7641
# N(E_F) (states/eV per atom): 0.114
# Calculated total energy (eV/atom): -3.47
# Energy relative to the elements, uncorrected (eV/atom): -1.00
# Total moment (μB per formula unit): 0.00